First-principles (PBE) data for crystalline BaSrHgSb2 at its relaxed geometry, as listed in OQMD.

Unit cell a=9.1701 b=9.1701 c=8.5071 alpha=90.00 beta=90.00 gamma=149.24
Fractional coordinates of all 10 atoms:
Ba: 0.0338 0.9662 0.5000
Ba: 0.9662 0.0338 0.0000
Sr: 0.2066 0.7934 0.1503
Sr: 0.7934 0.2066 0.6503
Hg: 0.4090 0.5910 0.3398
Hg: 0.5910 0.4090 0.8398
Sb: 0.1776 0.8224 0.7698
Sb: 0.4284 0.5716 0.7062
Sb: 0.5716 0.4284 0.2062
Sb: 0.8224 0.1776 0.2698

Output
For the total energy, the calculation gives -3.2234 eV/atom. The space group is Cmc2_1 (36).